The following is a PBE calculation of an optimized crystal structure of AcPaAg2O8, from Alexandria.

## Properties
formation energy (no corrections)	-1.4383	eV per atom
SG	I-4m2 (119)
N(E_F)	8.65	states/eV/cell

Cell: 6.388 6.388 6.388 Å, 107.84 107.84 112.78°
Fractional positions:
Ac1 0.000 0.000 0.000
Pa1 0.750 0.250 0.500
Ag1 0.250 0.750 0.500
Ag2 0.500 0.500 0.000
O1 0.021 0.355 0.335
O2 0.021 0.686 0.665
O3 0.090 0.290 0.800
O4 0.314 0.979 0.335
O5 0.491 0.290 0.200
O6 0.645 0.979 0.665
O7 0.710 0.509 0.800
O8 0.710 0.910 0.200

=====

The following is a PBE calculation of an optimized crystal structure of SrLa2Eu, from Alexandria.

## Properties
SG	P4/mmm (123)
excess energy over the best structure of this formula in the dataset	51	meV per atom
N(E_F)	7.02	states/eV/cell

Cell: 5.385 5.385 5.724 Å, 90.00 90.00 90.00°
Fractional positions:
Sr1 0.000 0.000 0.000
La1 0.000 0.500 0.500
La2 0.500 0.000 0.500
Eu1 0.500 0.500 0.000

=====

The following is a PBE calculation of an optimized crystal structure of Pu2Pa8Rh, from Alexandria.

## Properties
uncorrected energy	-111.64	eV/cell
SG	C2/m (12)
N(E_F)	16.75	states/eV/cell

Cell: 7.589 7.589 5.456 Å, 107.48 107.48 68.46°
Fractional positions:
Pu1 0.243 0.243 0.035
Pu2 0.757 0.757 0.965
Pa1 0.098 0.637 0.235
Pa2 0.102 0.102 0.263
Pa3 0.362 0.362 0.763
Pa4 0.363 0.902 0.765
Pa5 0.637 0.098 0.235
Pa6 0.638 0.638 0.237
Pa7 0.898 0.898 0.737
Pa8 0.902 0.363 0.765
Rh1 0.500 0.500 0.500

=====

The following is a PBE calculation of an optimized crystal structure of NiPb4Au, from Alexandria.

## Properties
uncorrected energy	-19.66	eV/cell
SG	F-43m (216)
N(E_F)	3.74	states/eV/cell

Cell: 6.280 6.280 6.280 Å, 60.00 60.00 60.00°
Fractional positions:
Ni1 0.000 0.000 0.000
Pb1 0.124 0.625 0.625
Pb2 0.625 0.124 0.625
Pb3 0.625 0.625 0.124
Pb4 0.625 0.625 0.625
Au1 0.250 0.250 0.250

=====

The following is a PBE calculation of an optimized crystal structure of NiHg2Mo, from Alexandria.

## Properties
SG	I-42d (122)
excess energy over the best structure of this formula in the dataset	622	meV per atom
N(E_F)	9.08	states/eV/cell

Cell: 5.889 5.889 5.889 Å, 102.76 102.76 123.94°
Fractional positions:
Ni1 0.000 0.000 0.000
Ni2 0.750 0.250 0.500
Hg1 0.098 0.125 0.473
Hg2 0.375 0.902 0.027
Hg3 0.652 0.625 0.527
Hg4 0.875 0.348 0.973
Mo1 0.250 0.750 0.500
Mo2 0.500 0.500 0.000

=====

The following is a PBE calculation of an optimized crystal structure of NdZrP2, from Alexandria.

## Properties
SG	R-3m (166)
excess energy over the best structure of this formula in the dataset	0	meV per atom
N(E_F)	1.52	states/eV/cell

Cell: 6.900 6.900 6.900 Å, 32.97 32.97 32.97°
Fractional positions:
Nd1 0.000 0.000 0.000
Zr1 0.500 0.500 0.500
P1 0.242 0.242 0.242
P2 0.758 0.758 0.758

=====

The following is a PBE calculation of an optimized crystal structure of Tm8Tl2Ir3, from Alexandria.

## Properties
SG	Cmmm (65)
excess energy over the best structure of this formula in the dataset	0	meV per atom
N(E_F)	9.95	states/eV/cell

Cell: 8.725 8.725 4.863 Å, 90.00 90.00 112.09°
Fractional positions:
Tm1 0.110 0.890 0.000
Tm2 0.142 0.367 0.500
Tm3 0.367 0.142 0.500
Tm4 0.386 0.614 0.000
Tm5 0.614 0.386 0.000
Tm6 0.633 0.858 0.500
Tm7 0.858 0.633 0.500
Tm8 0.890 0.110 0.000
Tl1 0.243 0.757 0.500
Tl2 0.757 0.243 0.500
Ir1 0.248 0.248 0.000
Ir2 0.500 0.500 0.500
Ir3 0.752 0.752 0.000

=====

The following is a PBE calculation of an optimized crystal structure of MnSi2Au, from Alexandria.

## Properties
formation energy (no corrections)	0.0519	eV per atom
SG	Pmm2 (25)
excess energy over the best structure of this formula in the dataset	195	meV per atom
N(E_F)	1.57	states/eV/cell

Cell: 2.903 4.542 4.357 Å, 90.00 90.00 90.00°
Fractional positions:
Mn1 0.000 0.000 0.000
Si1 0.000 0.500 0.770
Si2 0.500 0.000 0.545
Au1 0.500 0.500 0.263

=====

The following is a PBE calculation of an optimized crystal structure of YZr2Zn3, from Alexandria.

## Properties
uncorrected energy	-29.09	eV/cell
SG	P4/mmm (123)
N(E_F)	4.80	states/eV/cell

Cell: 3.434 3.434 10.140 Å, 90.00 90.00 90.00°
Fractional positions:
Y1 0.000 0.000 0.000
Zr1 0.000 0.000 0.340
Zr2 0.000 0.000 0.660
Zn1 0.500 0.500 0.186
Zn2 0.500 0.500 0.500
Zn3 0.500 0.500 0.814

=====

The following is a PBE calculation of an optimized crystal structure of Be5Co4, from Alexandria.

## Properties
SG	I4/mmm (139)
excess energy over the best structure of this formula in the dataset	4	meV per atom
N(E_F)	7.19	states/eV/cell

Cell: 5.110 5.110 5.110 Å, 96.49 96.49 140.72°
Fractional positions:
Be1 0.000 0.000 0.000
Be2 0.331 0.331 0.663
Be3 0.331 0.669 0.000
Be4 0.669 0.331 0.000
Be5 0.669 0.669 0.337
Co1 0.000 0.313 0.313
Co2 0.000 0.687 0.687
Co3 0.313 0.000 0.313
Co4 0.687 0.000 0.687

=====

The following is a PBE calculation of an optimized crystal structure of Ta2MnCl, from Alexandria.

## Properties
formation energy (no corrections)	0.4386	eV per atom
SG	Imm2 (44)
excess energy over the best structure of this formula in the dataset	487	meV per atom
N(E_F)	4.03	states/eV/cell

Cell: 5.454 5.454 5.454 Å, 148.30 132.59 58.16°
Fractional positions:
Ta1 0.000 0.000 0.000
Ta2 0.720 0.220 0.500
Mn1 0.488 0.488 0.000
Cl1 0.290 0.790 0.500

=====

The following is a PBE calculation of an optimized crystal structure of MgAuSe3, from Alexandria.

## Properties
formation energy (no corrections)	0.2775	eV per atom
SG	Pm-3m (221)
excess energy over the best structure of this formula in the dataset	0	meV per atom
N(E_F)	3.88	states/eV/cell

Cell: 5.100 5.100 5.100 Å, 90.00 90.00 90.00°
Fractional positions:
Mg1 0.000 0.000 0.000
Au1 0.500 0.500 0.500
Se1 0.000 0.500 0.500
Se2 0.500 0.000 0.500
Se3 0.500 0.500 0.000

=====

The following is a PBE calculation of an optimized crystal structure of NaLiHo2Cl8, from Alexandria.

## Properties
formation energy (no corrections)	-2.1083	eV per atom
SG	P2/m (10)
N(E_F)	0.00	states/eV/cell

Cell: 6.461 8.023 6.480 Å, 90.00 95.89 90.00°
Fractional positions:
Na1 0.000 0.000 0.000
Li1 0.000 0.500 0.000
Ho1 0.500 0.254 0.500
Ho2 0.500 0.746 0.500
Cl1 0.202 0.266 0.199
Cl2 0.202 0.734 0.199
Cl3 0.311 0.500 0.684
Cl4 0.316 0.000 0.680
Cl5 0.684 0.000 0.320
Cl6 0.689 0.500 0.316
Cl7 0.798 0.266 0.801
Cl8 0.798 0.734 0.801

=====

The following is a PBE calculation of an optimized crystal structure of FeRhAu4, from Alexandria.

## Properties
uncorrected energy	-25.97	eV/cell
SG	F-43m (216)
N(E_F)	4.76	states/eV/cell

Cell: 5.380 5.380 5.380 Å, 60.00 60.00 60.00°
Fractional positions:
Fe1 0.000 0.000 0.000
Rh1 0.750 0.750 0.750
Au1 0.375 0.375 0.375
Au2 0.375 0.375 0.875
Au3 0.375 0.875 0.375
Au4 0.875 0.375 0.375

=====

The following is a PBE calculation of an optimized crystal structure of K3C, from Alexandria.

## Properties
SG	P-6m2 (187)
excess energy over the best structure of this formula in the dataset	66	meV per atom
N(E_F)	2.51	states/eV/cell

Cell: 4.398 4.398 11.439 Å, 90.00 90.00 120.00°
Fractional positions:
K1 0.000 0.000 0.000
K2 0.667 0.333 0.356
K3 0.667 0.333 0.644
C1 0.000 0.000 0.500

=====

The following is a PBE calculation of an optimized crystal structure of RbTl2Cl, from Alexandria.

## Properties
formation energy (no corrections)	-0.6969	eV per atom
SG	I-42d (122)
excess energy over the best structure of this formula in the dataset	0	meV per atom
N(E_F)	3.26	states/eV/cell

Cell: 15.998 15.998 15.998 Å, 163.74 163.74 23.08°
Fractional positions:
Rb1 0.000 0.000 0.000
Rb2 0.750 0.250 0.500
Tl1 0.129 0.625 0.004
Tl2 0.375 0.379 0.504
Tl3 0.621 0.125 0.996
Tl4 0.875 0.871 0.496
Cl1 0.250 0.750 0.500
Cl2 0.500 0.500 0.000

=====

The following is a PBE calculation of an optimized crystal structure of Pr5Tm4Pb4, from Alexandria.

## Properties
uncorrected energy	-61.68	eV/cell
SG	I4/m (87)
N(E_F)	17.09	states/eV/cell

Cell: 9.696 9.696 9.696 Å, 93.34 93.34 152.05°
Fractional positions:
Pr1 0.000 0.000 0.000
Pr2 0.295 0.382 0.678
Pr3 0.382 0.705 0.087
Pr4 0.618 0.295 0.913
Pr5 0.705 0.618 0.322
Tm1 0.093 0.591 0.685
Tm2 0.409 0.093 0.502
Tm3 0.591 0.907 0.498
Tm4 0.907 0.409 0.315
Pb1 0.079 0.238 0.317
Pb2 0.238 0.921 0.160
Pb3 0.762 0.079 0.840
Pb4 0.921 0.762 0.683

=====

The following is a PBE calculation of an optimized crystal structure of CaTiV2Ni, from Alexandria.

## Properties
uncorrected energy	-24.90	eV/cell
SG	P4/mmm (123)
N(E_F)	9.23	states/eV/cell

Cell: 4.672 4.672 4.359 Å, 90.00 90.00 90.00°
Fractional positions:
Ca1 0.000 0.000 0.000
Ti1 0.500 0.500 0.500
V1 0.000 0.500 0.000
V2 0.500 0.000 0.000
Ni1 0.000 0.000 0.500

=====

The following is a PBE calculation of an optimized crystal structure of TlRh2Au, from Alexandria.

## Properties
uncorrected energy	-19.43	eV/cell
SG	Pmm2 (25)
N(E_F)	5.28	states/eV/cell

Cell: 2.952 3.872 6.088 Å, 90.00 90.00 90.00°
Fractional positions:
Tl1 0.000 0.000 0.000
Rh1 0.000 0.000 0.529
Rh2 0.500 0.500 0.746
Au1 0.500 0.500 0.290

=====

The following is a PBE calculation of an optimized crystal structure of Ti2InO2, from Alexandria.

## Properties
formation energy (no corrections)	-1.0753	eV per atom
SG	P4/mbm (127)
excess energy over the best structure of this formula in the dataset	566	meV per atom
N(E_F)	7.84	states/eV/cell

Cell: 6.942 6.942 2.786 Å, 90.00 90.00 90.00°
Fractional positions:
Ti1 0.128 0.372 0.000
Ti2 0.372 0.872 0.000
Ti3 0.628 0.128 0.000
Ti4 0.872 0.628 0.000
In1 0.000 0.000 0.500
In2 0.500 0.500 0.500
O1 0.116 0.616 0.500
O2 0.384 0.116 0.500
O3 0.616 0.884 0.500
O4 0.884 0.384 0.500